[1]
The following is a DFT calculation (PBE-GGA) of crystalline ScMn2Al at its relaxed geometry.

Calculated values
* N(E_F): 3.840 states/eV per cell
* total magnetic moment: 4.512 μB per formula unit
* ΔE_f: -0.39 eV per formula unit

```
data_ScMn2Al
_cell_length_a 4.0896
_cell_length_b 4.0896
_cell_length_c 3.5888
_cell_angle_alpha 90.00
_cell_angle_beta 90.00
_cell_angle_gamma 90.00
_symmetry_space_group_name_H-M 'P 4/m m m'
_symmetry_Int_Tables_number 123
_symmetry_space_group_name_Hall '-P 4 2'
loop_
_atom_site_label
_atom_site_fract_x
_atom_site_fract_y
_atom_site_fract_z
Sc1 0.0000 0.0000 0.0000
Mn1 0.0000 0.5000 0.5000
Al1 0.5000 0.5000 0.0000
```


[2]
The following is a DFT calculation (PBE-GGA) of crystalline Pm3Nd2Cd3 at its relaxed geometry.

Calculated values
* N(E_F): 11.021 states/eV per cell
* distance to the lowest polymorph of the same formula: 52.3 meV/atom
* total magnetic moment: 0.003 μB per formula unit
* ΔE_f: -1.45 eV per formula unit

```
data_Pm3Nd2Cd3
_cell_length_a 5.0038
_cell_length_b 5.0042
_cell_length_c 9.4277
_cell_angle_alpha 90.00
_cell_angle_beta 90.00
_cell_angle_gamma 90.00
_symmetry_space_group_name_H-M 'P m m m'
_symmetry_Int_Tables_number 47
_symmetry_space_group_name_Hall '-P 2 2'
loop_
_atom_site_label
_atom_site_fract_x
_atom_site_fract_y
_atom_site_fract_z
Pm1 0.0000 0.0000 0.0000
Pm2 0.5000 0.0000 0.2675
Nd1 0.0000 0.5000 0.2643
Cd1 0.0000 0.0000 0.5000
Cd2 0.5000 0.5000 0.0000
Cd3 0.5000 0.5000 0.5000
```


[3]
The following is a DFT calculation (PBE-GGA) of crystalline Pr2PaNiS5 at its relaxed geometry.

Calculated values
* N(E_F): 14.411 states/eV per cell
* energy: -6.725 eV per atom
* total magnetic moment: 0.429 μB per formula unit

```
data_Pr2PaNiS5
_cell_length_a 3.8617
_cell_length_b 16.4677
_cell_length_c 12.1352
_cell_angle_alpha 90.00
_cell_angle_beta 90.00
_cell_angle_gamma 90.00
_symmetry_space_group_name_H-M 'C m c 21'
_symmetry_Int_Tables_number 36
_symmetry_space_group_name_Hall 'C 2c -2'
loop_
_atom_site_label
_atom_site_fract_x
_atom_site_fract_y
_atom_site_fract_z
Pr1 0.0000 0.1141 0.0000
Pr2 0.0000 0.1153 0.3484
Pa1 0.0000 0.1774 0.6756
Ni1 0.0000 0.4412 0.0706
S1 0.0000 0.0195 0.6607
S2 0.0000 0.3039 0.3369
S3 0.0000 0.3116 0.0156
S4 0.0000 0.3428 0.6735
S5 0.0000 0.4953 0.4056
```


[4]
The following is a DFT calculation (PBE-GGA) of crystalline Cs2NaHgBr at its relaxed geometry.

Calculated values
* N(E_F): 2.420 states/eV per cell
* energy: -1.628 eV per atom
* total magnetic moment: 0.000 μB per formula unit

```
data_Cs2NaHgBr
_cell_length_a 7.1171
_cell_length_b 7.1171
_cell_length_c 5.7836
_cell_angle_alpha 90.00
_cell_angle_beta 90.00
_cell_angle_gamma 90.00
_symmetry_space_group_name_H-M 'P 4/m m m'
_symmetry_Int_Tables_number 123
_symmetry_space_group_name_Hall '-P 4 2'
loop_
_atom_site_label
_atom_site_fract_x
_atom_site_fract_y
_atom_site_fract_z
Cs1 0.0000 0.5000 0.0000
Na1 0.0000 0.0000 0.5000
Hg1 0.5000 0.5000 0.5000
Br1 0.0000 0.0000 0.0000
```